Entry 1:
# Ga6TcRh

A geometry-optimized Ga6TcRh structure (PBE, Alexandria).

Unit cell a=5.3736 b=5.3736 c=5.3736 alpha=105.02 beta=105.02 gamma=105.02
Sites, in units of the cell vectors:
Ga: 0.2200 0.2200 0.6913
Ga: 0.2200 0.6913 0.2200
Ga: 0.3087 0.7800 0.7800
Ga: 0.6913 0.2200 0.2200
Ga: 0.7800 0.3087 0.7800
Ga: 0.7800 0.7800 0.3087
Tc: 0.0000 0.0000 0.0000
Rh: 0.5000 0.5000 0.5000

ΔE_f: -0.15 eV/atom
total energy: -37.048 eV/cell

Entry 2:
# YCrBr2

A geometry-optimized YCrBr2 structure (PBE, Alexandria).

Unit cell a=3.5764 b=3.5764 c=8.7352 alpha=90.00 beta=90.00 gamma=90.00
Sites, in units of the cell vectors:
Y: 0.0000 0.0000 0.0000
Cr: 0.5000 0.5000 0.7707
Br: 0.0000 0.0000 0.6268
Br: 0.5000 0.5000 0.2007

total energy: -21.664 eV/cell
uncorrected formation energy: -0.558 eV/atom
E above lowest polymorph: 23 meV/atom

Entry 3:
# Zn2CoAs

A geometry-optimized Zn2CoAs structure (PBE, Alexandria).

Unit cell a=3.1405 b=3.3287 c=5.4206 alpha=90.00 beta=90.00 gamma=90.00
Sites, in units of the cell vectors:
Zn: 0.0000 0.0000 0.0000
Zn: 0.5000 0.5000 0.2363
Co: 0.5000 0.5000 0.7265
As: 0.0000 0.0000 0.5405

ΔE_f: 0.05 eV/atom
total energy: -14.105 eV/cell

Entry 4:
# NbHOs

A geometry-optimized NbHOs structure (PBE, Alexandria).

Unit cell a=5.0930 b=5.8460 c=5.8568 alpha=90.00 beta=125.09 gamma=90.00
Sites, in units of the cell vectors:
Nb: 0.0468 0.2125 0.2729
Nb: 0.0468 0.2875 0.7729
Nb: 0.9532 0.7125 0.2271
Nb: 0.9532 0.7875 0.7271
H: 0.2620 0.7502 0.1314
H: 0.2620 0.7498 0.6314
H: 0.7380 0.2502 0.3686
H: 0.7380 0.2498 0.8686
Os: 0.4994 0.0000 0.7593
Os: 0.4994 0.5000 0.2593
Os: 0.5006 0.0000 0.2407
Os: 0.5006 0.5000 0.7407

total energy: -98.468 eV/cell
E above lowest polymorph: 128 meV/atom

Entry 5:
# TlAg2Te2

A geometry-optimized TlAg2Te2 structure (PBE, Alexandria).

Unit cell a=8.5367 b=8.5367 c=8.5367 alpha=151.31 beta=151.31 gamma=41.02
Sites, in units of the cell vectors:
Tl: 0.0000 0.0000 0.0000
Ag: 0.2500 0.7500 0.5000
Ag: 0.7500 0.2500 0.5000
Te: 0.3719 0.3719 0.0000
Te: 0.6281 0.6281 0.0000

total energy: -15.004 eV/cell
uncorrected formation energy: -0.130 eV/atom
E above lowest polymorph: 0 meV/atom

Entry 6:
# Na2LiAs

A geometry-optimized Na2LiAs structure (PBE, Alexandria).

Unit cell a=10.5645 b=10.5645 c=10.5645 alpha=156.41 beta=156.41 gamma=33.60
Sites, in units of the cell vectors:
Na: 0.1049 0.6250 0.9799
Na: 0.3750 0.3549 0.4799
Na: 0.6451 0.1250 0.0201
Na: 0.8750 0.8951 0.5201
Li: 0.2500 0.7500 0.5000
Li: 0.5000 0.5000 0.0000
As: 0.0000 0.0000 0.0000
As: 0.7500 0.2500 0.5000

ΔE_f: -0.11 eV/atom
total energy: -19.269 eV/cell

Entry 7:
# CoRh4

A geometry-optimized CoRh4 structure (PBE, Alexandria).

Unit cell a=7.0967 b=7.0967 c=7.0967 alpha=158.08 beta=149.22 gamma=38.11
Sites, in units of the cell vectors:
Co: 0.0000 0.0000 0.0000
Rh: 0.1987 0.1987 0.0000
Rh: 0.4040 0.4040 0.0000
Rh: 0.5960 0.5960 0.0000
Rh: 0.8013 0.8013 0.0000

ΔE_f: 0.04 eV/atom
total energy: -36.301 eV/cell
E above lowest polymorph: 13 meV/atom

Entry 8:
# Cs2BeC2O6

A geometry-optimized Cs2BeC2O6 structure (PBE, Alexandria).

Unit cell a=7.0527 b=7.0527 c=7.2684 alpha=120.75 beta=120.75 gamma=38.81
Sites, in units of the cell vectors:
Cs: 0.1877 0.1877 0.1840
Cs: 0.8123 0.8123 0.8160
Be: 0.0000 0.0000 0.5000
C: 0.4985 0.4985 0.3115
C: 0.5015 0.5015 0.6885
O: 0.2023 0.6838 0.2963
O: 0.3162 0.7977 0.7037
O: 0.4001 0.4001 0.6669
O: 0.5999 0.5999 0.3331
O: 0.6838 0.2023 0.2963
O: 0.7977 0.3162 0.7037

total energy: -72.331 eV/cell
uncorrected formation energy: -1.700 eV/atom

Entry 9:
# Hg2Ge2Te

A geometry-optimized Hg2Ge2Te structure (PBE, Alexandria).

Unit cell a=7.6390 b=7.6390 c=4.3221 alpha=90.00 beta=90.00 gamma=90.00
Sites, in units of the cell vectors:
Hg: 0.1743 0.3257 0.0000
Hg: 0.3257 0.8257 0.0000
Hg: 0.6743 0.1743 0.0000
Hg: 0.8257 0.6743 0.0000
Ge: 0.1293 0.6293 0.5000
Ge: 0.3707 0.1293 0.5000
Ge: 0.6293 0.8707 0.5000
Ge: 0.8707 0.3707 0.5000
Te: 0.0000 0.0000 0.5000
Te: 0.5000 0.5000 0.5000

total energy: -23.753 eV/cell
uncorrected formation energy: 0.221 eV/atom
E above lowest polymorph: 0 meV/atom

Entry 10:
# TbPr2Zn9

A geometry-optimized TbPr2Zn9 structure (PBE, Alexandria).

Unit cell a=9.3402 b=9.3402 c=9.3402 alpha=34.30 beta=34.30 gamma=34.30
Sites, in units of the cell vectors:
Tb: 0.0000 0.0000 0.0000
Pr: 0.1405 0.1405 0.1405
Pr: 0.8595 0.8595 0.8595
Zn: 0.0765 0.5816 0.5816
Zn: 0.3347 0.3347 0.3347
Zn: 0.4184 0.4184 0.9235
Zn: 0.4184 0.9235 0.4184
Zn: 0.5000 0.5000 0.5000
Zn: 0.5816 0.0765 0.5816
Zn: 0.5816 0.5816 0.0765
Zn: 0.6653 0.6653 0.6653
Zn: 0.9235 0.4184 0.4184

ΔE_f: -0.29 eV/atom
total energy: -29.088 eV/cell

Entry 11:
# SrTi2S

A geometry-optimized SrTi2S structure (PBE, Alexandria).

Unit cell a=6.3050 b=6.3050 c=6.3050 alpha=101.97 beta=101.97 gamma=125.82
Sites, in units of the cell vectors:
Sr: 0.0000 0.0000 0.0000
Sr: 0.7500 0.2500 0.5000
Ti: 0.2250 0.1250 0.6000
Ti: 0.3750 0.7750 0.9000
Ti: 0.5250 0.6250 0.4000
Ti: 0.8750 0.4750 0.1000
S: 0.2500 0.7500 0.5000
S: 0.5000 0.5000 0.0000

total energy: -44.373 eV/cell
uncorrected formation energy: -0.147 eV/atom

Entry 12:
# NaHo2Se

A geometry-optimized NaHo2Se structure (PBE, Alexandria).

Unit cell a=10.7785 b=10.7785 c=10.7785 alpha=20.10 beta=20.10 gamma=20.10
Sites, in units of the cell vectors:
Na: 0.0000 0.0000 0.0000
Ho: 0.1107 0.1107 0.1107
Ho: 0.8893 0.8893 0.8893
Se: 0.5000 0.5000 0.5000

total energy: -16.233 eV/cell
uncorrected formation energy: -0.568 eV/atom

The records above give, respectively, N(E_F) values of 3.76; 4.82; 2.06; 6.14; 2.42; 1.55; 7.14; 0.00; 5.96; 6.42; 5.18; 3.87 states/eV/cell.